The following is a DFT calculation (PBE) of a geometry-optimized CeGdZnNi structure.

Unit cell a=7.042 b=7.042 c=7.042 alpha=90.00 beta=90.00 gamma=90.00
Space group F-43m (No. 216)
Asymmetric unit:
Ce (0.000, 0.000, 0.000) [4 per cell]
Gd (0.000, 0.000, 0.500) [4 per cell]
Zn (0.250, 0.250, 0.750) [4 per cell]
Ni (0.250, 0.250, 0.250) [4 per cell]

Values from the calculation:
Its total energy is -6.999 eV/atom. As for the density of states at the Fermi level: 24.659 states/eV/cell.

The following is a DFT calculation (PBE) of a geometry-optimized Ce2GdNp structure.

Unit cell a=3.6541 b=3.6541 c=28.3257 alpha=90.00 beta=90.00 gamma=120.00
Space group R-3m (No. 166, hexagonal axes)
Asymmetric unit:
Ce (0.0000, 0.0000, 0.2221) [6 per cell]
Gd (0.0000, 0.0000, 0.0000) [3 per cell]
Np (0.0000, 0.0000, 0.5000) [3 per cell]

Values from the calculation:
Its total energy is -9.380 eV/atom. As for the density of states at the Fermi level: 25.430 states/eV/cell.

The following is a DFT calculation (PBE) of a geometry-optimized Ce9GdO20 structure.

Unit cell a=6.693 b=7.728 c=8.640 alpha=102.93 beta=97.42 gamma=106.78
Space group P-1 (No. 2)
Asymmetric unit:
Ce (0.000, 0.000, 0.000) [1 per cell]
Ce (0.200, 0.400, 0.399) [2 per cell]
Ce (0.200, 0.899, 0.399) [2 per cell]
Ce (0.398, 0.799, 0.800) [2 per cell]
Ce (0.400, 0.301, 0.801) [2 per cell]
Gd (0.000, 0.500, 0.000) [1 per cell]
O (0.050, 0.728, 0.848) [2 per cell]
O (0.051, 0.222, 0.848) [2 per cell]
O (0.149, 0.674, 0.549) [2 per cell]
O (0.150, 0.175, 0.549) [2 per cell]
O (0.252, 0.125, 0.250) [2 per cell]
O (0.253, 0.627, 0.252) [2 per cell]
O (0.351, 0.075, 0.950) [2 per cell]
O (0.353, 0.576, 0.949) [2 per cell]
O (0.449, 0.024, 0.650) [2 per cell]
O (0.449, 0.525, 0.649) [2 per cell]

Values from the calculation:
The value obtained for the uncorrected formation energy is -3.38 eV per atom. As for the density of states at the Fermi level: 26.571 states/eV/cell.

The following is a DFT calculation (PBE) of a geometry-optimized CeGd2O structure.

Unit cell a=3.162 b=3.162 c=8.891 alpha=90.00 beta=90.00 gamma=90.00
Space group P4/mmm (No. 123)
Asymmetric unit:
Ce (0.000, 0.000, 0.000) [1 per cell]
Gd (0.500, 0.500, 0.326) [2 per cell]
O (0.000, 0.000, 0.500) [1 per cell]

Values from the calculation:
The value obtained for the uncorrected formation energy is -0.85 eV per atom. The distance to the lowest polymorph of the same formula comes out at 0.411 eV/atom. As for the density of states at the Fermi level: 6.383 states/eV/cell.

The following is a DFT calculation (PBE) of a geometry-optimized CeGd3O structure.

Unit cell a=4.988 b=4.988 c=4.988 alpha=90.00 beta=90.00 gamma=90.00
Space group Pm-3m (No. 221)
Asymmetric unit:
Ce (0.000, 0.000, 0.000) [1 per cell]
Gd (0.000, 0.500, 0.500) [3 per cell]
O (0.500, 0.500, 0.500) [1 per cell]

Values from the calculation:
The value obtained for the uncorrected formation energy is -1.00 eV per atom. As for the density of states at the Fermi level: 10.681 states/eV/cell.

The following is a DFT calculation (PBE) of a geometry-optimized CeGd2O structure.

Unit cell a=3.5157 b=3.5157 c=26.7510 alpha=90.00 beta=90.00 gamma=120.00
Space group R-3m (No. 166, hexagonal axes)
Asymmetric unit:
Ce (0.0000, 0.0000, 0.0000) [3 per cell]
Gd (0.0000, 0.0000, 0.2203) [6 per cell]
O (0.0000, 0.0000, 0.5000) [3 per cell]

Values from the calculation:
The value obtained for the uncorrected formation energy is -1.26 eV per atom. The distance to the lowest polymorph of the same formula comes out at 0.000 eV/atom. As for the density of states at the Fermi level: 23.241 states/eV/cell.

The following is a DFT calculation (PBE) of a geometry-optimized CeGdOs2 structure.

Unit cell a=3.456 b=3.456 c=6.898 alpha=90.00 beta=90.00 gamma=90.00
Space group P4/mmm (No. 123)
Asymmetric unit:
Ce (0.000, 0.000, 0.000) [1 per cell]
Gd (0.000, 0.000, 0.500) [1 per cell]
Os (0.500, 0.500, 0.237) [2 per cell]

Values from the calculation:
The distance to the lowest polymorph of the same formula comes out at 0.000 eV/atom. As for the density of states at the Fermi level: 1.111 states/eV/cell.

The following is a DFT calculation (PBE) of a geometry-optimized CeGd3Os structure.

Unit cell a=5.495 b=5.495 c=5.495 alpha=90.00 beta=90.00 gamma=90.00
Space group Pm-3m (No. 221)
Asymmetric unit:
Ce (0.000, 0.000, 0.000) [1 per cell]
Gd (0.000, 0.500, 0.500) [3 per cell]
Os (0.500, 0.500, 0.500) [1 per cell]

Values from the calculation:
Its total energy is -11.772 eV/atom. As for the density of states at the Fermi level: 14.561 states/eV/cell.

The following is a DFT calculation (PBE) of a geometry-optimized CeGdOs2 structure.

Unit cell a=6.909 b=6.909 c=6.909 alpha=90.00 beta=90.00 gamma=90.00
Space group Fm-3m (No. 225)
Asymmetric unit:
Ce (0.000, 0.000, 0.000) [4 per cell]
Gd (0.000, 0.000, 0.500) [4 per cell]
Os (0.250, 0.250, 0.250) [8 per cell]

Values from the calculation:
The distance to the lowest polymorph of the same formula comes out at 0.030 eV/atom. As for the density of states at the Fermi level: 14.454 states/eV/cell.

The following is a DFT calculation (PBE) of a geometry-optimized CeGdOsRh structure.

Unit cell a=6.923 b=6.923 c=6.923 alpha=90.00 beta=90.00 gamma=90.00
Space group F-43m (No. 216)
Asymmetric unit:
Ce (0.000, 0.000, 0.000) [4 per cell]
Gd (0.000, 0.000, 0.500) [4 per cell]
Os (0.250, 0.250, 0.750) [4 per cell]
Rh (0.250, 0.250, 0.250) [4 per cell]

Values from the calculation:
Its total energy is -10.057 eV/atom. As for the density of states at the Fermi level: 11.665 states/eV/cell.

The following is a DFT calculation (PBE) of a geometry-optimized CeGdOsRu structure.

Unit cell a=6.900 b=6.900 c=6.900 alpha=90.00 beta=90.00 gamma=90.00
Space group F-43m (No. 216)
Asymmetric unit:
Ce (0.000, 0.000, 0.000) [4 per cell]
Gd (0.000, 0.000, 0.500) [4 per cell]
Os (0.250, 0.250, 0.250) [4 per cell]
Ru (0.250, 0.250, 0.750) [4 per cell]

Values from the calculation:
Its total energy is -10.316 eV/atom. As for the density of states at the Fermi level: 15.537 states/eV/cell.

The following is a DFT calculation (PBE) of a geometry-optimized CeGdZnOs structure.

Unit cell a=7.028 b=7.028 c=7.028 alpha=90.00 beta=90.00 gamma=90.00
Space group F-43m (No. 216)
Asymmetric unit:
Ce (0.000, 0.000, 0.000) [4 per cell]
Gd (0.000, 0.000, 0.500) [4 per cell]
Zn (0.250, 0.250, 0.750) [4 per cell]
Os (0.250, 0.250, 0.250) [4 per cell]

Values from the calculation:
Its total energy is -8.339 eV/atom. As for the density of states at the Fermi level: 12.666 states/eV/cell.

What is the density of states at the Fermi level in the ninth record?
14.454 states/eV/cell